# 1
An optimized crystal structure of NbPdPt14, computed with PBE.

Results
* formation energy from the elements: -198 meV/atom

Unit cell a=5.662 b=5.662 c=7.841 alpha=90.00 beta=90.00 gamma=90.00
Space group P4/mmm (No. 123)
One atom of each set of equivalent atoms:
1 Nb 0.000 0.000 0.000 (multiplicity 1)
2 Pd 0.500 0.500 0.000 (multiplicity 1)
3 Pt 0.000 0.000 0.500 (multiplicity 1)
4 Pt 0.000 0.500 0.000 (multiplicity 2)
5 Pt 0.000 0.500 0.500 (multiplicity 2)
6 Pt 0.248 0.248 0.246 (multiplicity 8)
7 Pt 0.500 0.500 0.500 (multiplicity 1)

# 2
An optimized crystal structure of CaCd6Ag5, computed with PBE.

Results
* formation energy from the elements: -88 meV/atom

Unit cell a=4.385 b=8.527 c=6.992 alpha=90.00 beta=107.62 gamma=90.00
Space group P2/m (No. 10)
One atom of each set of equivalent atoms:
1 Ca 0.000 0.000 0.000 (multiplicity 1)
2 Cd 0.171 0.259 0.339 (multiplicity 4)
3 Cd 0.500 0.270 0.000 (multiplicity 2)
4 Ag 0.000 0.500 0.000 (multiplicity 1)
5 Ag 0.326 0.000 0.652 (multiplicity 2)
6 Ag 0.328 0.500 0.661 (multiplicity 2)

# 3
An optimized crystal structure of Sc3Pt, computed with PBE.

Results
* formation energy from the elements: -594 meV/atom

Unit cell a=3.357 b=3.396 c=7.443 alpha=90.00 beta=90.00 gamma=90.00
Space group Pmmm (No. 47)
One atom of each set of equivalent atoms:
1 Sc 0.000 0.000 0.000 (multiplicity 1)
2 Sc 0.500 0.500 0.291 (multiplicity 2)
3 Pt 0.000 0.000 0.500 (multiplicity 1)

# 4
An optimized crystal structure of Hg2PSe, computed with PBE.

Results
* energy relative to the elements, uncorrected: 0.22 eV per formula unit

Unit cell a=4.926 b=6.242 c=7.934 alpha=70.57 beta=82.66 gamma=67.46
Space group P-1 (No. 2)
One atom of each set of equivalent atoms:
1 Hg 0.000 0.000 0.000 (multiplicity 1)
2 Hg 0.000 0.500 0.500 (multiplicity 1)
3 Hg 0.257 0.459 0.125 (multiplicity 2)
4 P 0.196 0.831 0.522 (multiplicity 2)
5 Se 0.412 0.922 0.252 (multiplicity 2)

# 5
An optimized crystal structure of NbGaReI2, computed with PBE.

Results
* energy relative to the elements, uncorrected: 7.61 eV per formula unit

Unit cell a=5.456 b=5.456 c=5.352 alpha=90.00 beta=90.00 gamma=90.00
Space group P4/mmm (No. 123)
One atom of each set of equivalent atoms:
1 Nb 0.000 0.000 0.000 (multiplicity 1)
2 Ga 0.000 0.000 0.500 (multiplicity 1)
3 Re 0.500 0.500 0.500 (multiplicity 1)
4 I 0.000 0.500 0.000 (multiplicity 2)

# 6
An optimized crystal structure of Mg4GaAg7, computed with PBE.

Results
* formation energy from the elements: -49 meV/atom

Unit cell a=10.360 b=4.966 c=10.432 alpha=90.00 beta=117.34 gamma=90.00
Space group C2/m (No. 12)
One atom of each set of equivalent atoms:
1 Mg 0.103 0.000 0.273 (multiplicity 4)
2 Mg 0.247 0.000 0.819 (multiplicity 4)
3 Ga 0.000 0.500 0.500 (multiplicity 2)
4 Ag 0.000 0.000 0.500 (multiplicity 2)
5 Ag 0.050 0.500 0.855 (multiplicity 4)
6 Ag 0.143 0.000 0.020 (multiplicity 4)
7 Ag 0.203 0.500 0.420 (multiplicity 4)

# 7
An optimized crystal structure of Ba2TlHgO, computed with PBE.

Results
* energy relative to the elements, uncorrected: -5.06 eV per formula unit

Unit cell a=5.415 b=5.415 c=5.357 alpha=90.00 beta=90.00 gamma=90.00
Space group P4/mmm (No. 123)
One atom of each set of equivalent atoms:
1 Ba 0.000 0.500 0.000 (multiplicity 2)
2 Tl 0.000 0.000 0.500 (multiplicity 1)
3 Hg 0.500 0.500 0.500 (multiplicity 1)
4 O 0.000 0.000 0.000 (multiplicity 1)

# 8
An optimized crystal structure of CaTcSe, computed with PBE.

Results
* energy relative to the elements, uncorrected: -2.21 eV per formula unit
* energy relative to the lowest polymorph listed for this composition: 0 meV/atom

Unit cell a=4.1160 b=4.1160 c=28.7444 alpha=90.00 beta=90.00 gamma=120.00
Space group R3m (No. 160, hexagonal axes)
One atom of each set of equivalent atoms:
1 Ca 0.0000 0.0000 0.0000 (multiplicity 3)
2 Ca 0.0000 0.0000 0.1263 (multiplicity 3)
3 Tc 0.0000 0.0000 0.2406 (multiplicity 3)
4 Tc 0.0000 0.0000 0.5885 (multiplicity 3)
5 Se 0.0000 0.0000 0.4023 (multiplicity 3)
6 Se 0.0000 0.0000 0.8627 (multiplicity 3)

# 9
An optimized crystal structure of K2TaCd, computed with PBE.

Results
* formation energy from the elements: 870 meV/atom

Unit cell a=9.879 b=2.947 c=9.837 alpha=90.00 beta=91.98 gamma=90.00
Space group Cm (No. 8)
One atom of each set of equivalent atoms:
1 K 0.000 0.000 0.000 (multiplicity 2)
2 K 0.237 0.000 0.605 (multiplicity 2)
3 Ta 0.480 0.000 0.348 (multiplicity 2)
4 Cd 0.244 0.500 0.243 (multiplicity 2)

# 10
An optimized crystal structure of Cs2ErTe3O12, computed with PBE.

Results
* energy relative to the elements, uncorrected: -26.81 eV per formula unit

Unit cell a=7.4319 b=7.4319 c=18.8666 alpha=90.00 beta=90.00 gamma=120.00
Space group R-3m (No. 166, hexagonal axes)
One atom of each set of equivalent atoms:
1 Cs 0.0000 0.0000 0.1231 (multiplicity 6)
2 Er 0.0000 0.0000 0.5000 (multiplicity 3)
3 Te 0.0000 0.5000 0.0000 (multiplicity 9)
4 O 0.0521 0.5260 0.0983 (multiplicity 18)
5 O 0.0699 0.5349 0.3509 (multiplicity 18)

# 11
An optimized crystal structure of CsRb, computed with PBE.

Results
* formation energy from the elements: 7 meV/atom
* energy relative to the lowest polymorph listed for this composition: 7 meV/atom

Unit cell a=5.577 b=25.249 c=8.615 alpha=90.00 beta=90.00 gamma=90.00
Space group Pmmn (No. 59, origin choice 2)
One atom of each set of equivalent atoms:
1 Cs 0.250 0.083 0.043 (multiplicity 4)
2 Cs 0.250 0.750 0.072 (multiplicity 2)
3 Rb 0.250 0.250 0.435 (multiplicity 2)
4 Rb 0.250 0.583 0.463 (multiplicity 4)

# 12
An optimized crystal structure of LaTaTe2, computed with PBE.

Results
* energy relative to the elements, uncorrected: -0.32 eV per formula unit
* energy relative to the lowest polymorph listed for this composition: 456 meV/atom

Unit cell a=4.416 b=4.416 c=11.090 alpha=90.00 beta=90.00 gamma=90.00
Space group I-4m2 (No. 119)
One atom of each set of equivalent atoms:
1 La 0.000 0.000 0.000 (multiplicity 2)
2 Ta 0.000 0.500 0.750 (multiplicity 2)
3 Te 0.000 0.000 0.500 (multiplicity 2)
4 Te 0.000 0.500 0.250 (multiplicity 2)

no.,E_tot (eV/atom)
1,-6.438
2,-1.900
3,-6.853
4,-2.319
5,-4.208
6,-2.496
7,-3.307
8,-6.021
9,-2.870
10,-5.667
11,-0.904
12,-5.846